[1]
This record from Alexandria via LeMat-Bulk describes a geometry-optimized La2HfPaP4 structure. The functional is PBE. Values from VASP.

Results
SG: No. 10
Calculated formation energy, eV per atom: -1.42

```
&SYSTEM
  ibrav = 0, nat = 8, ntyp = 4
/
ATOMIC_SPECIES
La 138.91 La.upf
Hf 178.49 Hf.upf
Pa 231.04 Pa.upf
P 30.97 P.upf
CELL_PARAMETERS angstrom
6.9080 0.0000 0.0000
0.0000 4.0172 0.0000
-2.3073 0.0000 6.7012
ATOMIC_POSITIONS crystal
La 0.0000 0.0000 0.0000
La 0.5000 0.5000 0.0000
Hf 0.0000 0.5000 0.5000
Pa 0.5000 0.0000 0.5000
P 0.2324 0.0000 0.7182
P 0.2500 0.5000 0.2773
P 0.7500 0.5000 0.7227
P 0.7676 0.0000 0.2818
```

***

[2]
This record from Alexandria via LeMat-Bulk describes a geometry-optimized La2HfPPb structure. The functional is PBE. Values from VASP.

Results
SG: No. 123
Calculated formation energy, eV per atom: 0.11

```
&SYSTEM
  ibrav = 0, nat = 5, ntyp = 4
/
ATOMIC_SPECIES
La 138.91 La.upf
Hf 178.49 Hf.upf
P 30.97 P.upf
Pb 207.20 Pb.upf
CELL_PARAMETERS angstrom
5.5484 0.0000 0.0000
0.0000 5.5484 0.0000
0.0000 0.0000 5.3477
ATOMIC_POSITIONS crystal
La 0.0000 0.5000 0.0000
La 0.5000 0.0000 0.0000
Hf 0.0000 0.0000 0.5000
P 0.5000 0.5000 0.0000
Pb 0.5000 0.5000 0.5000
```

***

[3]
This record from Alexandria via LeMat-Bulk describes a geometry-optimized La2PrHfP4 structure. The functional is PBE. Values from VASP.

Results
SG: No. 10
Calculated formation energy, eV per atom: -1.45

```
&SYSTEM
  ibrav = 0, nat = 8, ntyp = 4
/
ATOMIC_SPECIES
La 138.91 La.upf
Pr 140.91 Pr.upf
Hf 178.49 Hf.upf
P 30.97 P.upf
CELL_PARAMETERS angstrom
7.0898 0.0000 0.0000
0.0000 4.0823 0.0000
-2.3277 0.0000 6.7243
ATOMIC_POSITIONS crystal
La 0.0000 0.0000 0.0000
La 0.5000 0.5000 0.0000
Pr 0.0000 0.5000 0.5000
Hf 0.5000 0.0000 0.5000
P 0.2630 0.0000 0.7342
P 0.2744 0.5000 0.2757
P 0.7256 0.5000 0.7243
P 0.7370 0.0000 0.2658
```